## KPrPuCl6 (PBE)

Data for a relaxed structure of KPrPuCl6.

extended XYZ file:
```
18
Lattice="7.293 0.000 0.000 -3.647 6.316 0.000 0.000 0.000 13.745" Properties=species:S:1:pos:R:3 pbc="T T T"
K 0.000 0.000 0.000
K 0.000 0.000 6.872
Pr 0.000 4.211 3.436
Pr 3.647 2.105 10.309
Pu 0.000 4.211 10.309
Pu 3.647 2.105 3.436
Cl -1.297 2.289 1.869
Cl -2.313 4.049 5.004
Cl 1.297 2.289 5.004
Cl -1.016 6.295 1.869
Cl 2.631 0.022 8.741
Cl 1.334 2.267 11.876
Cl 2.313 4.049 1.869
Cl 1.016 6.295 5.004
Cl 4.663 0.022 11.876
Cl 2.350 4.027 8.741
Cl 5.959 2.267 8.741
Cl 4.943 4.027 11.876
```

V = 35.2 Å³/atom
symmetry = P-31c, No. 163
VASP energy = -5.5233 eV/atom

## Tm3Sc4Ge4 (PBE)

Data for a relaxed structure of Tm3Sc4Ge4.

extended XYZ file:
```
11
Lattice="-1.956 4.204 7.555 1.956 -4.204 7.555 1.956 4.204 -7.555" Properties=species:S:1:pos:R:3 pbc="T T T"
Tm 0.000 0.000 0.000
Tm 1.956 0.000 5.902
Tm 0.000 4.204 1.653
Sc 1.956 1.627 -2.612
Sc 1.956 1.627 2.612
Sc 0.000 2.578 4.943
Sc 0.000 2.578 10.167
Ge 0.000 0.000 3.690
Ge 1.956 2.381 0.000
Ge 0.000 1.823 7.555
Ge 0.000 0.000 11.420
```

V = 22.6 Å³/atom
symmetry = Immm, No. 71
energy relative to the elements = -669 meV per atom
VASP energy = -5.8696 eV/atom

Q: Which value of V does entry 2 give?
A: 22.6 Å³/atom